No. 1
## VAg2RuW (PBE)

Data for crystalline VAg2RuW at its relaxed geometry.

abc: 5.037 5.037 4.352
angles: 90.00 90.00 90.00
Fractional positions:
V: 0.000 0.000 0.000
Ag: 0.000 0.500 0.500
Ag: 0.500 0.000 0.500
Ru: 0.500 0.500 0.000
W: 0.000 0.000 0.500

Output
E_form = 2.000 eV per atom
raw total energy = -0.398 Ry per atom
crystal system = tetragonal
symmetry = P4/mmm (123)
E above lowest polymorph = 143 meV per atom
M_tot = 2.181 μB per cell

---

No. 2
## Rb4Pr3InSe8 (PBE)

Data for crystalline Rb4Pr3InSe8 at its relaxed geometry.

abc: 9.486 9.486 9.486
angles: 54.66 54.66 54.66
Fractional positions:
Rb: 0.000 0.000 0.000
Rb: 0.000 0.500 0.500
Rb: 0.500 0.000 0.500
Rb: 0.500 0.500 0.000
Pr: 0.000 0.000 0.500
Pr: 0.000 0.500 0.000
Pr: 0.500 0.000 0.000
In: 0.500 0.500 0.500
Se: 0.234 0.234 0.234
Se: 0.245 0.727 0.727
Se: 0.273 0.273 0.755
Se: 0.273 0.755 0.273
Se: 0.727 0.245 0.727
Se: 0.727 0.727 0.245
Se: 0.755 0.273 0.273
Se: 0.766 0.766 0.766

Output
raw total energy = -0.333 Ry per atom
crystal system = trigonal
symmetry = R-3m (166)
M_tot = 0.000 μB per cell
ΔE_f (raw) = -1475 meV/atom

---

No. 3
## TmSi2Sb2Pt7 (PBE)

Data for crystalline TmSi2Sb2Pt7 at its relaxed geometry.

abc: 3.945 3.945 15.305
angles: 97.36 97.36 89.99
Fractional positions:
Tm: 0.000 0.000 0.000
Si: 0.382 0.382 0.762
Si: 0.618 0.618 0.238
Sb: 0.210 0.210 0.422
Sb: 0.790 0.790 0.578
Pt: 0.072 0.572 0.147
Pt: 0.303 0.303 0.606
Pt: 0.428 0.928 0.853
Pt: 0.500 0.500 0.000
Pt: 0.572 0.072 0.147
Pt: 0.697 0.697 0.394
Pt: 0.928 0.428 0.853

Output
raw total energy = -0.455 Ry per atom
crystal system = monoclinic
symmetry = C2/m (12)
M_tot = 0.000 μB per cell
ΔE_f (raw) = -708 meV/atom

---

No. 4
## NdBeIn (PBE)

Data for crystalline NdBeIn at its relaxed geometry.

abc: 6.540 6.540 6.540
angles: 90.00 90.00 90.00
Fractional positions:
Nd: 0.000 0.000 0.000
Nd: 0.000 0.500 0.500
Nd: 0.500 0.000 0.500
Nd: 0.500 0.500 0.000
Be: 0.250 0.250 0.250
Be: 0.250 0.750 0.750
Be: 0.750 0.250 0.750
Be: 0.750 0.750 0.250
In: 0.000 0.000 0.500
In: 0.000 0.500 0.000
In: 0.500 0.000 0.000
In: 0.500 0.500 0.500

Output
E_form = -0.194 eV per atom
raw total energy = -0.289 Ry per atom
crystal system = cubic
symmetry = F-43m (216)
E above lowest polymorph = 0 meV per atom
M_tot = 0.000 μB per cell

---

No. 5
## TaNi2Mo (PBE)

Data for crystalline TaNi2Mo at its relaxed geometry.

abc: 6.076 6.076 6.076
angles: 90.00 90.00 90.00
Fractional positions:
Ta: 0.000 0.000 0.000
Ta: 0.000 0.500 0.500
Ta: 0.500 0.000 0.500
Ta: 0.500 0.500 0.000
Ni: 0.250 0.250 0.250
Ni: 0.250 0.250 0.750
Ni: 0.250 0.750 0.250
Ni: 0.250 0.750 0.750
Ni: 0.750 0.250 0.250
Ni: 0.750 0.250 0.750
Ni: 0.750 0.750 0.250
Ni: 0.750 0.750 0.750
Mo: 0.000 0.000 0.500
Mo: 0.000 0.500 0.000
Mo: 0.500 0.000 0.000
Mo: 0.500 0.500 0.500

Output
E_form = 0.087 eV per atom
raw total energy = -0.623 Ry per atom
crystal system = cubic
symmetry = Fm-3m (225)
E above lowest polymorph = 219 meV per atom
M_tot = 0.000 μB per cell

---

No. 6
## Dy2PaC3 (PBE)

Data for crystalline Dy2PaC3 at its relaxed geometry.

abc: 7.200 7.200 5.088
angles: 90.00 90.00 60.17
Fractional positions:
Dy: 0.007 0.332 0.250
Dy: 0.332 0.007 0.750
Dy: 0.668 0.993 0.250
Dy: 0.993 0.668 0.750
Pa: 0.328 0.672 0.250
Pa: 0.672 0.328 0.750
C: 0.018 0.666 0.250
C: 0.334 0.982 0.250
C: 0.349 0.651 0.750
C: 0.651 0.349 0.250
C: 0.666 0.018 0.750
C: 0.982 0.334 0.750

Output
E_form = -0.102 eV per atom
raw total energy = -0.576 Ry per atom
crystal system = orthorhombic
symmetry = Cmcm (63)
M_tot = 0.000 μB per cell

---

No. 7
## PrMn4Al8 (PBE)

Data for crystalline PrMn4Al8 at its relaxed geometry.

abc: 6.801 6.801 6.801
angles: 98.40 98.40 135.07
Fractional positions:
Pr: 0.000 0.000 0.000
Mn: 0.000 0.000 0.500
Mn: 0.000 0.500 0.000
Mn: 0.500 0.000 0.000
Mn: 0.500 0.500 0.500
Al: 0.000 0.341 0.341
Al: 0.000 0.659 0.659
Al: 0.272 0.500 0.772
Al: 0.341 0.000 0.341
Al: 0.500 0.272 0.772
Al: 0.500 0.728 0.228
Al: 0.659 0.000 0.659
Al: 0.728 0.500 0.228

Output
E_form = -0.315 eV per atom
raw total energy = -0.427 Ry per atom
crystal system = tetragonal
symmetry = I4/mmm (139)
M_tot = 8.830 μB per cell

---

No. 8
## Ga2Ag6Sn (PBE)

Data for crystalline Ga2Ag6Sn at its relaxed geometry.

abc: 8.246 8.246 5.197
angles: 97.04 97.04 75.38
Fractional positions:
Ga: 0.051 0.280 0.092
Ga: 0.280 0.051 0.592
Ga: 0.720 0.949 0.408
Ga: 0.949 0.720 0.908
Ag: 0.072 0.825 0.479
Ag: 0.145 0.402 0.652
Ag: 0.175 0.928 0.021
Ag: 0.237 0.522 0.193
Ag: 0.402 0.145 0.152
Ag: 0.478 0.763 0.307
Ag: 0.522 0.237 0.693
Ag: 0.598 0.855 0.848
Ag: 0.763 0.478 0.807
Ag: 0.825 0.072 0.979
Ag: 0.855 0.598 0.348
Ag: 0.928 0.175 0.521
Sn: 0.383 0.617 0.750
Sn: 0.617 0.383 0.250

Output
E_form = 0.029 eV per atom
raw total energy = -0.220 Ry per atom
crystal system = monoclinic
symmetry = C2/c (15)
E above lowest polymorph = 9 meV per atom
M_tot = 0.000 μB per cell

---

No. 9
## HfRuSeBr2 (PBE)

Data for crystalline HfRuSeBr2 at its relaxed geometry.

abc: 4.882 4.882 4.939
angles: 90.00 90.00 90.00
Fractional positions:
Hf: 0.000 0.000 0.000
Ru: 0.500 0.500 0.500
Se: 0.500 0.500 0.000
Br: 0.000 0.500 0.500
Br: 0.500 0.000 0.500

Output
raw total energy = -0.343 Ry per atom
crystal system = tetragonal
symmetry = P4/mmm (123)
E above lowest polymorph = 229 meV per atom
M_tot = 0.000 μB per cell
ΔE_f (raw) = 545 meV/atom

---

No. 10
## TaRu2S (PBE)

Data for crystalline TaRu2S at its relaxed geometry.

abc: 5.397 5.397 11.089
angles: 90.00 90.00 90.00
Fractional positions:
Ta: 0.000 0.000 0.000
Ta: 0.000 0.500 0.250
Ta: 0.500 0.000 0.750
Ta: 0.500 0.500 0.500
Ru: 0.209 0.250 0.625
Ru: 0.250 0.709 0.875
Ru: 0.250 0.791 0.375
Ru: 0.291 0.250 0.125
Ru: 0.709 0.750 0.125
Ru: 0.750 0.209 0.375
Ru: 0.750 0.291 0.875
Ru: 0.791 0.750 0.625
S: 0.000 0.000 0.500
S: 0.000 0.500 0.750
S: 0.500 0.000 0.250
S: 0.500 0.500 0.000

Output
raw total energy = -0.614 Ry per atom
crystal system = tetragonal
symmetry = I-42d (122)
M_tot = 0.000 μB per cell
ΔE_f (raw) = 277 meV/atom

---

No. 11
## LaPm4Ag5 (PBE)

Data for crystalline LaPm4Ag5 at its relaxed geometry.

abc: 3.721 3.721 19.046
angles: 90.00 90.00 90.00
Fractional positions:
La: 0.000 0.000 0.000
Pm: 0.000 0.000 0.203
Pm: 0.000 0.000 0.401
Pm: 0.000 0.000 0.599
Pm: 0.000 0.000 0.797
Ag: 0.500 0.500 0.107
Ag: 0.500 0.500 0.302
Ag: 0.500 0.500 0.500
Ag: 0.500 0.500 0.698
Ag: 0.500 0.500 0.893

Output
E_form = -0.268 eV per atom
raw total energy = -0.300 Ry per atom
crystal system = tetragonal
symmetry = P4/mmm (123)
M_tot = 0.000 μB per cell

---

No. 12
## Li2CdCo (PBE)

Data for crystalline Li2CdCo at its relaxed geometry.

abc: 3.143 4.403 8.998
angles: 90.00 90.00 90.00
Fractional positions:
Li: 0.000 0.000 0.222
Li: 0.000 0.000 0.778
Li: 0.500 0.500 0.222
Li: 0.500 0.500 0.778
Cd: 0.000 0.500 0.500
Cd: 0.500 0.000 0.500
Co: 0.000 0.500 0.000
Co: 0.500 0.000 0.000

Output
E_form = 0.141 eV per atom
raw total energy = -0.207 Ry per atom
crystal system = orthorhombic
symmetry = Cmmm (65)
M_tot = 2.725 μB per cell